Cs3Mn2CuF9: optimized geometry, GGA+U.

Summary:
Total moment (μB/cell): 9.00
Total DFT energy (no corrections) (eV/atom): -5.06
V (A^3/atom): 16.337

Geometry as CIF:
```
data_Cs3Mn2CuF9
_chemical_formula_sum 'Cs3 Mn2 Cu1 F9'
_space_group_name_H-M_alt 'P -3 m 1'
_space_group_IT_number 164
_space_group_name_Hall '-P 3 2"'
_cell_length_a 6.1352
_cell_length_b 6.1352
_cell_length_c 7.5175
_cell_angle_alpha 90.00
_cell_angle_beta 90.00
_cell_angle_gamma 120.00
loop_
_atom_site_label
_atom_site_fract_x
_atom_site_fract_y
_atom_site_fract_z
_atom_site_occupancy
Cs1 0.0000 0.0000 0.0000 1
Cs2 0.3333 0.6667 0.6635 1
Mn1 0.3333 0.6667 0.1702 1
Cu1 0.0000 0.0000 0.5000 1
F1 0.0000 0.5000 0.0000 1
F2 0.1664 0.3328 0.3336 1
```